Record 1
Entry from the Open Quantum Materials Database: crystalline Li2PmAu4 at its relaxed geometry (PBE).

Summary:
**Crystal system**: tetragonal

Unit cell a=7.118 b=7.118 c=5.293 alpha=90.00 beta=90.00 gamma=90.00
Space group I4/mmm (No. 139)
Asymmetric unit:
Li  0.000  0.500  0.250 (multiplicity 4)
Pm  0.000  0.000  0.000 (multiplicity 2)
Au  0.200  0.200  0.500 (multiplicity 8)

Record 2
Entry from the Open Quantum Materials Database: crystalline Li3Pm2Au2 at its relaxed geometry (PBE).

Summary:
**Crystal system**: monoclinic

Unit cell a=10.397 b=4.307 c=7.425 alpha=90.00 beta=112.49 gamma=90.00
Space group C2/m (No. 12)
Asymmetric unit:
Li  0.000  0.000  0.000 (multiplicity 2)
Li  0.141  0.000  0.437 (multiplicity 4)
Pm  0.140  0.500  0.778 (multiplicity 4)
Au  0.148  0.500  0.201 (multiplicity 4)

Record 3
Entry from the Open Quantum Materials Database: crystalline Li2PmAu3 at its relaxed geometry (PBE).

Summary:
**Crystal system**: hexagonal

Unit cell a=4.5079 b=4.5079 c=13.1748 alpha=90.00 beta=90.00 gamma=120.00
Space group P6_3/mmc (No. 194)
Asymmetric unit:
Li  0.3333  0.6667  0.0684 (multiplicity 4)
Pm  0.0000  0.0000  0.2500 (multiplicity 2)
Au  0.0000  0.0000  0.0000 (multiplicity 2)
Au  0.3333  0.6667  0.6289 (multiplicity 4)

Record 4
Entry from the Open Quantum Materials Database: crystalline Li4PrAu2 at its relaxed geometry (PBE).

Summary:
**Crystal system**: tetragonal

Unit cell a=7.875 b=7.875 c=4.296 alpha=90.00 beta=90.00 gamma=90.00
Space group P4_2/mnm (No. 136)
Asymmetric unit:
Li  0.095  0.347  0.000 (multiplicity 8)
Pr  0.000  0.000  0.500 (multiplicity 2)
Au  0.213  0.787  0.000 (multiplicity 4)

Record 5
Entry from the Open Quantum Materials Database: crystalline Li2PrAu2 at its relaxed geometry (PBE).

Summary:
**Crystal system**: tetragonal

Unit cell a=3.984 b=3.984 c=13.124 alpha=90.00 beta=90.00 gamma=90.00
Space group I4/mmm (No. 139)
Asymmetric unit:
Li  0.000  0.500  0.250 (multiplicity 4)
Pr  0.000  0.000  0.000 (multiplicity 2)
Au  0.000  0.000  0.389 (multiplicity 4)

Record 6
Entry from the Open Quantum Materials Database: crystalline LiPrAu at its relaxed geometry (PBE).

Summary:
**Crystal system**: cubic

Unit cell a=6.941 b=6.941 c=6.941 alpha=90.00 beta=90.00 gamma=90.00
Space group F-43m (No. 216)
Asymmetric unit:
Li  0.000  0.000  0.000 (multiplicity 4)
Pr  0.250  0.250  0.750 (multiplicity 4)
Au  0.000  0.000  0.500 (multiplicity 4)

Record 7
Entry from the Open Quantum Materials Database: crystalline Li3Pr2Au2 at its relaxed geometry (PBE).

Summary:
**Crystal system**: monoclinic

Unit cell a=10.605 b=4.322 c=7.503 alpha=90.00 beta=113.28 gamma=90.00
Space group C2/m (No. 12)
Asymmetric unit:
Li  0.000  0.000  0.000 (multiplicity 2)
Li  0.144  0.000  0.436 (multiplicity 4)
Pr  0.139  0.500  0.775 (multiplicity 4)
Au  0.146  0.500  0.200 (multiplicity 4)

Record 8
Entry from the Open Quantum Materials Database: crystalline LiPtAu2 at its relaxed geometry (PBE).

Summary:
**Crystal system**: cubic

Unit cell a=6.394 b=6.394 c=6.394 alpha=90.00 beta=90.00 gamma=90.00
Space group F-43m (No. 216)
Asymmetric unit:
Li  0.000  0.000  0.000 (multiplicity 4)
Pt  0.250  0.250  0.250 (multiplicity 4)
Au  0.000  0.000  0.500 (multiplicity 4)
Au  0.250  0.250  0.750 (multiplicity 4)

Record 9
Entry from the Open Quantum Materials Database: crystalline LiPt2Au at its relaxed geometry (PBE).

Summary:
**Crystal system**: tetragonal

Unit cell a=3.952 b=3.952 c=7.834 alpha=90.00 beta=90.00 gamma=90.00
Space group I4/mmm (No. 139)
Asymmetric unit:
Li  0.000  0.000  0.000 (multiplicity 2)
Pt  0.000  0.500  0.250 (multiplicity 4)
Au  0.000  0.000  0.500 (multiplicity 2)

Record 10
Entry from the Open Quantum Materials Database: crystalline LiPt2Au at its relaxed geometry (PBE).

Summary:
**Crystal system**: cubic

Unit cell a=6.303 b=6.303 c=6.303 alpha=90.00 beta=90.00 gamma=90.00
Space group F-43m (No. 216)
Asymmetric unit:
Li  0.000  0.000  0.000 (multiplicity 4)
Pt  0.000  0.000  0.500 (multiplicity 4)
Pt  0.250  0.250  0.750 (multiplicity 4)
Au  0.250  0.250  0.250 (multiplicity 4)

Record 11
Entry from the Open Quantum Materials Database: crystalline LiPtAuS3 at its relaxed geometry (PBE).

Summary:
**Crystal system**: orthorhombic

Unit cell a=3.633 b=12.893 c=9.549 alpha=90.00 beta=90.00 gamma=90.00
Space group Cmcm (No. 63)
Asymmetric unit:
Li  0.000  0.183  0.250 (multiplicity 4)
Pt  0.000  0.500  0.000 (multiplicity 4)
Au  0.000  0.151  0.750 (multiplicity 4)
S  0.000  0.123  0.512 (multiplicity 8)
S  0.000  0.441  0.750 (multiplicity 4)

Record 12
Entry from the Open Quantum Materials Database: crystalline LiPtAu3S4 at its relaxed geometry (PBE).

Summary:
**Crystal system**: cubic

Unit cell a=5.797 b=5.797 c=5.797 alpha=90.00 beta=90.00 gamma=90.00
Space group P-43m (No. 215)
Asymmetric unit:
Li  0.000  0.000  0.000 (multiplicity 1)
Pt  0.500  0.500  0.500 (multiplicity 1)
Au  0.000  0.500  0.500 (multiplicity 3)
S  0.247  0.247  0.247 (multiplicity 4)

no.,ρ (g/cm3),DFT total energy (Ry/atom)
1,11.724,-0.276
2,7.619,-0.264
3,10.740,-0.272
4,7.013,-0.234
5,8.746,-0.267
6,6.848,-0.245
7,7.324,-0.264
8,15.146,-0.283
9,16.124,-0.337
10,15.757,-0.333
11,7.353,-0.317
12,7.854,-0.271